Compound: AlCrCu2As
Source: the Alexandria database
Functional: PBE-GGA
Structure: optimized geometry

Structure (POSCAR):
```
AlCrCu2As
1.0
-4.315 1.100 0.066
-0.488 -2.186 4.558
1.015 3.867 1.963
Cr As Al Cu
1 1 1 2
direct
0.500 0.500 0.500
0.000 0.000 0.000
0.000 0.500 0.000
0.000 0.000 0.500
0.500 0.000 0.000
```

The crystal system is tetragonal. Its calculated volume is 100.7 Å³ per cell. The density of states at the Fermi level comes out at 2.82 states/eV/cell. As for the energy relative to the elements: 746 meV per atom.